No. 1
An optimized crystal structure of CaMgSe2Br, computed with PBE.

The structure belongs to space group P4/mmm (No. 123); the cell edges are 5.480, 5.480 and 5.424 Å and the angles 90.00°, 90.00° and 90.00°. Symmetry generates all atoms from Ca at (0.000, 0.000, 0.000), Mg at (0.500, 0.500, 0.500), Se at (0.000, 0.500, 0.000) and Br at (0.000, 0.000, 0.500).

For the magnetization, the calculation gives 0.00 μB/f.u. As for the energy above the most stable polymorph in this dataset: 507 meV/atom. The raw formation energy comes out at -0.504 eV per atom.

---

No. 2
An optimized crystal structure of CaMgSnBr6, computed with PBE.

The structure belongs to space group P-31c (No. 163); the cell edges are 7.1765, 7.1765 and 12.9883 Å and the angles 90.00°, 90.00° and 120.00°. Symmetry generates all atoms from Ca at (0.3333, 0.6667, 0.2500), Mg at (0.3333, 0.6667, 0.7500), Sn at (0.0000, 0.0000, 0.0000) and Br at (0.0212, 0.3617, 0.6294).

For the magnetization, the calculation gives 0.00 μB/f.u. The raw formation energy comes out at -1.392 eV per atom.

---

No. 3
An optimized crystal structure of SrCaMgBr6, computed with PBE.

The structure belongs to space group P-31c (No. 163); the cell edges are 7.2139, 7.2139 and 13.2607 Å and the angles 90.00°, 90.00° and 120.00°. Symmetry generates all atoms from Sr at (0.0000, 0.0000, 0.0000), Ca at (0.3333, 0.6667, 0.2500), Mg at (0.3333, 0.6667, 0.7500) and Br at (0.0210, 0.3655, 0.6318).

For the magnetization, the calculation gives 0.00 μB/f.u. The raw formation energy comes out at -1.855 eV per atom.

---

No. 4
An optimized crystal structure of SrCa2MgBr8, computed with PBE.

The structure belongs to space group P2/m (No. 10); the cell edges are 6.687, 8.744 and 6.913 Å and the angles 90.00°, 90.55° and 90.00°. Symmetry generates all atoms from Sr at (0.000, 0.000, 0.000), Ca at (0.500, 0.262, 0.500), Mg at (0.000, 0.500, 0.000), Br at (0.219, 0.278, 0.169), Br at (0.266, 0.500, 0.685) and Br at (0.284, 0.000, 0.659).

For the magnetization, the calculation gives 0.00 μB/f.u. The raw formation energy comes out at -1.882 eV per atom.

---

No. 5
An optimized crystal structure of SrCa2MgBr, computed with PBE.

The structure belongs to space group P4/mmm (No. 123); the cell edges are 6.335, 6.335 and 5.702 Å and the angles 90.00°, 90.00° and 90.00°. Symmetry generates all atoms from Sr at (0.000, 0.000, 0.000), Ca at (0.000, 0.500, 0.500), Mg at (0.500, 0.500, 0.500) and Br at (0.500, 0.500, 0.000).

For the magnetization, the calculation gives 0.00 μB/f.u. The raw formation energy comes out at -0.002 eV per atom.

---

No. 6
An optimized crystal structure of CaMg2TlBr, computed with PBE.

The structure belongs to space group P4/mmm (No. 123); the cell edges are 6.339, 6.339 and 5.412 Å and the angles 90.00°, 90.00° and 90.00°. Symmetry generates all atoms from Ca at (0.000, 0.000, 0.000), Mg at (0.000, 0.500, 0.000), Tl at (0.500, 0.500, 0.500) and Br at (0.000, 0.000, 0.500).

For the magnetization, the calculation gives 0.00 μB/f.u. The raw formation energy comes out at 0.081 eV per atom.

---

No. 7
An optimized crystal structure of Ca2MnBr, computed with PBE.

The structure belongs to space group I-42d (No. 122); the cell edges are 8.152, 8.152 and 7.663 Å and the angles 90.00°, 90.00° and 90.00°. Symmetry generates all atoms from Ca at (0.234, 0.250, 0.125), Mn at (0.000, 0.000, 0.500) and Br at (0.000, 0.000, 0.000).

For the magnetization, the calculation gives 4.00 μB/f.u. As for the energy above the most stable polymorph in this dataset: 284 meV/atom. The raw formation energy comes out at -0.092 eV per atom.

---

No. 8
An optimized crystal structure of CaMnBr2, computed with PBE.

The structure belongs to space group C2/m (No. 12); the cell edges are 13.149, 4.318 and 4.739 Å and the angles 90.00°, 94.47° and 90.00°. Symmetry generates all atoms from Ca at (0.000, 0.000, 0.000), Mn at (0.000, 0.500, 0.500) and Br at (0.142, 0.500, 0.214).

For the magnetization, the calculation gives 3.16 μB/f.u. As for the energy above the most stable polymorph in this dataset: 123 meV/atom. The raw formation energy comes out at -0.625 eV per atom.

---

No. 9
An optimized crystal structure of CaMnBr2, computed with PBE.

The structure belongs to space group F-43m (No. 216); the cell edges are 7.615, 7.615 and 7.615 Å and the angles 90.00°, 90.00° and 90.00°. Symmetry generates all atoms from Ca at (0.000, 0.000, 0.000), Mn at (0.250, 0.250, 0.750), Br at (0.000, 0.000, 0.500) and Br at (0.250, 0.250, 0.250).

For the magnetization, the calculation gives 5.00 μB/f.u. As for the energy above the most stable polymorph in this dataset: 559 meV/atom. The raw formation energy comes out at -0.189 eV per atom.

---

No. 10
An optimized crystal structure of CaMnBr, computed with PBE.

The structure belongs to space group P-6m2 (No. 187); the cell edges are 4.8245, 4.8245 and 3.7079 Å and the angles 90.00°, 90.00° and 120.00°. Symmetry generates all atoms from Ca at (0.0000, 0.0000, 0.0000), Mn at (0.6667, 0.3333, 0.5000) and Br at (0.3333, 0.6667, 0.5000).

For the magnetization, the calculation gives 4.04 μB/f.u. The raw formation energy comes out at -0.054 eV per atom.

---

No. 11
An optimized crystal structure of CaMnBr2, computed with PBE.

The structure belongs to space group Immm (No. 71); the cell edges are 4.156, 5.217 and 13.606 Å and the angles 90.00°, 90.00° and 90.00°. Symmetry generates all atoms from Ca at (0.000, 0.000, 0.000), Mn at (0.000, 0.000, 0.500) and Br at (0.000, 0.500, 0.357).

For the magnetization, the calculation gives 4.97 μB/f.u. As for the energy above the most stable polymorph in this dataset: 155 meV/atom. The raw formation energy comes out at -0.594 eV per atom.

---

No. 12
An optimized crystal structure of Ca2MnBr, computed with PBE.

The structure belongs to space group I-4m2 (No. 119); the cell edges are 4.363, 4.363 and 12.602 Å and the angles 90.00°, 90.00° and 90.00°. Symmetry generates all atoms from Ca at (0.000, 0.000, 0.000), Ca at (0.000, 0.500, 0.250), Mn at (0.000, 0.500, 0.750) and Br at (0.000, 0.000, 0.500).

For the magnetization, the calculation gives 4.02 μB/f.u. As for the energy above the most stable polymorph in this dataset: 272 meV/atom. The raw formation energy comes out at -0.104 eV per atom.

---

No. 13
An optimized crystal structure of CaMnBr2, computed with PBE.

The structure belongs to space group Imm2 (No. 44); the cell edges are 3.663, 4.760 and 13.658 Å and the angles 90.00°, 90.00° and 90.00°. Symmetry generates all atoms from Ca at (0.000, 0.000, 0.000), Mn at (0.000, 0.500, 0.714), Br at (0.000, 0.000, 0.543) and Br at (0.000, 0.500, 0.332).

For the magnetization, the calculation gives 4.98 μB/f.u. As for the energy above the most stable polymorph in this dataset: 126 meV/atom. The raw formation energy comes out at -0.622 eV per atom.

---

No. 14
An optimized crystal structure of CaMnBr2, computed with PBE.

The structure belongs to space group P4/mmm (No. 123); the cell edges are 4.918, 4.918 and 3.945 Å and the angles 90.00°, 90.00° and 90.00°. Symmetry generates all atoms from Ca at (0.000, 0.000, 0.000), Mn at (0.500, 0.500, 0.000) and Br at (0.000, 0.500, 0.500).

For the magnetization, the calculation gives 4.29 μB/f.u. As for the energy above the most stable polymorph in this dataset: 252 meV/atom. The raw formation energy comes out at -0.496 eV per atom.

---

No. 15
An optimized crystal structure of Ca3MnBr, computed with PBE.

The structure belongs to space group Pm-3m (No. 221); the cell edges are 5.390, 5.390 and 5.390 Å and the angles 90.00°, 90.00° and 90.00°. Symmetry generates all atoms from Ca at (0.000, 0.000, 0.500), Mn at (0.000, 0.000, 0.000) and Br at (0.500, 0.500, 0.500).

For the magnetization, the calculation gives 0.00 μB/f.u. As for the energy above the most stable polymorph in this dataset: 210 meV/atom. The raw formation energy comes out at 0.267 eV per atom.

---

No. 16
An optimized crystal structure of CaMnBr, computed with PBE.

The structure belongs to space group F-43m (No. 216); the cell edges are 7.326, 7.326 and 7.326 Å and the angles 90.00°, 90.00° and 90.00°. Symmetry generates all atoms from Ca at (0.000, 0.000, 0.000), Mn at (0.250, 0.250, 0.250) and Br at (0.250, 0.250, 0.750).

For the magnetization, the calculation gives 4.09 μB/f.u. The raw formation energy comes out at 0.195 eV per atom.

---

No. 17
An optimized crystal structure of Ca2MnBr, computed with PBE.

The structure belongs to space group I4/mmm (No. 139); the cell edges are 5.119, 5.119 and 8.835 Å and the angles 90.00°, 90.00° and 90.00°. Symmetry generates all atoms from Ca at (0.000, 0.500, 0.250), Mn at (0.000, 0.000, 0.000) and Br at (0.000, 0.000, 0.500).

For the magnetization, the calculation gives 4.13 μB/f.u. As for the energy above the most stable polymorph in this dataset: 347 meV/atom. The raw formation energy comes out at -0.029 eV per atom.

---

No. 18
An optimized crystal structure of CaMnBr2, computed with PBE.

The structure belongs to space group R3m (No. 160, hexagonal axes); the cell edges are 3.9613, 3.9613 and 29.3734 Å and the angles 90.00°, 90.00° and 120.00°. Symmetry generates all atoms from Ca at (0.0000, 0.0000, 0.0000), Mn at (0.0000, 0.0000, 0.2429), Br at (0.0000, 0.0000, 0.5276) and Br at (0.0000, 0.0000, 0.7257).

For the magnetization, the calculation gives 5.00 μB/f.u. As for the energy above the most stable polymorph in this dataset: 0 meV/atom. The raw formation energy comes out at -0.748 eV per atom.

---

No. 19
An optimized crystal structure of CaMn2Br, computed with PBE.

The structure belongs to space group P4/mmm (No. 123); the cell edges are 3.393, 3.393 and 8.375 Å and the angles 90.00°, 90.00° and 90.00°. Symmetry generates all atoms from Ca at (0.000, 0.000, 0.000), Mn at (0.500, 0.500, 0.272) and Br at (0.000, 0.000, 0.500).

For the magnetization, the calculation gives 8.79 μB/f.u. As for the energy above the most stable polymorph in this dataset: 373 meV/atom. The raw formation energy comes out at 0.412 eV per atom.

---

No. 20
An optimized crystal structure of CaMnBr, computed with PBE.

The structure belongs to space group F-43m (No. 216); the cell edges are 7.286, 7.286 and 7.286 Å and the angles 90.00°, 90.00° and 90.00°. Symmetry generates all atoms from Ca at (0.000, 0.000, 0.000), Mn at (0.250, 0.250, 0.750) and Br at (0.000, 0.000, 0.500).

For the magnetization, the calculation gives 4.13 μB/f.u. The raw formation energy comes out at 0.324 eV per atom.

---

No. 21
An optimized crystal structure of Ca2MnBr, computed with PBE.

The structure belongs to space group Imm2 (No. 44); the cell edges are 3.663, 5.221 and 12.136 Å and the angles 90.00°, 90.00° and 90.00°. Symmetry generates all atoms from Ca at (0.000, 0.000, 0.000), Ca at (0.000, 0.500, 0.224), Mn at (0.000, 0.000, 0.462) and Br at (0.000, 0.500, 0.708).

For the magnetization, the calculation gives 3.99 μB/f.u. As for the energy above the most stable polymorph in this dataset: 213 meV/atom. The raw formation energy comes out at -0.162 eV per atom.

---

No. 22
An optimized crystal structure of CaMn2Br, computed with PBE.

The structure belongs to space group Immm (No. 71); the cell edges are 3.687, 4.249 and 11.874 Å and the angles 90.00°, 90.00° and 90.00°. Symmetry generates all atoms from Ca at (0.000, 0.000, 0.000), Mn at (0.000, 0.000, 0.275) and Br at (0.000, 0.000, 0.500).

For the magnetization, the calculation gives 8.01 μB/f.u. As for the energy above the most stable polymorph in this dataset: 74 meV/atom. The raw formation energy comes out at 0.112 eV per atom.

---

No. 23
An optimized crystal structure of Ca2MnBr, computed with PBE.

The structure belongs to space group C2/m (No. 12); the cell edges are 6.664, 3.839 and 9.068 Å and the angles 90.00°, 104.12° and 90.00°. Symmetry generates all atoms from Ca at (0.249, 0.000, 0.245), Mn at (0.000, 0.500, 0.000) and Br at (0.000, 0.000, 0.500).

For the magnetization, the calculation gives 3.52 μB/f.u. As for the energy above the most stable polymorph in this dataset: 16 meV/atom. The raw formation energy comes out at -0.359 eV per atom.

---

No. 24
An optimized crystal structure of Ca3MnBr, computed with PBE.

The structure belongs to space group Pm-3m (No. 221); the cell edges are 5.582, 5.582 and 5.582 Å and the angles 90.00°, 90.00° and 90.00°. Symmetry generates all atoms from Ca at (0.000, 0.000, 0.500), Mn at (0.500, 0.500, 0.500) and Br at (0.000, 0.000, 0.000).

For the magnetization, the calculation gives 3.98 μB/f.u. As for the energy above the most stable polymorph in this dataset: 0 meV/atom. The raw formation energy comes out at 0.057 eV per atom.

---

No. 25
An optimized crystal structure of Ca2MnBr, computed with PBE.

The structure belongs to space group P4mm (No. 99); the cell edges are 3.687, 3.687 and 9.637 Å and the angles 90.00°, 90.00° and 90.00°. Symmetry generates all atoms from Ca at (0.000, 0.000, 0.000), Ca at (0.500, 0.500, 0.313), Mn at (0.000, 0.000, 0.509) and Br at (0.500, 0.500, 0.838).

For the magnetization, the calculation gives 4.22 μB/f.u. As for the energy above the most stable polymorph in this dataset: 216 meV/atom. The raw formation energy comes out at -0.160 eV per atom.

---

No. 26
An optimized crystal structure of CaMn2Br, computed with PBE.

The structure belongs to space group P4mm (No. 99); the cell edges are 3.566, 3.566 and 8.318 Å and the angles 90.00°, 90.00° and 90.00°. Symmetry generates all atoms from Ca at (0.000, 0.000, 0.000), Mn at (0.000, 0.000, 0.382), Mn at (0.500, 0.500, 0.256) and Br at (0.500, 0.500, 0.811).

For the magnetization, the calculation gives 8.10 μB/f.u. As for the energy above the most stable polymorph in this dataset: 4 meV/atom. The raw formation energy comes out at 0.042 eV per atom.

---

No. 27
An optimized crystal structure of CaMnBr2, computed with PBE.

The structure belongs to space group P2/m (No. 10); the cell edges are 3.827, 4.411 and 6.292 Å and the angles 90.00°, 90.98° and 90.00°. Symmetry generates all atoms from Ca at (0.000, 0.000, 0.000), Mn at (0.500, 0.000, 0.500) and Br at (0.315, 0.500, 0.258).

For the magnetization, the calculation gives 3.63 μB/f.u. As for the energy above the most stable polymorph in this dataset: 241 meV/atom. The raw formation energy comes out at -0.507 eV per atom.

---

No. 28
An optimized crystal structure of Ca2MnBr, computed with PBE.

The structure belongs to space group P2/m (No. 10); the cell edges are 3.873, 3.664 and 8.525 Å and the angles 90.00°, 90.36° and 90.00°. Symmetry generates all atoms from Ca at (0.003, 0.000, 0.218), Mn at (0.500, 0.500, 0.000) and Br at (0.000, 0.500, 0.500).

For the magnetization, the calculation gives 3.60 μB/f.u. As for the energy above the most stable polymorph in this dataset: 0 meV/atom. The raw formation energy comes out at -0.376 eV per atom.